SrGa2Au9 (GGA-PBE, relaxed); space group = No. 191
1.0
3.568 0.000 0.000
0.000 8.805 0.000
0.000 -4.402 7.625
Sr Ga Au
1 2 9
direct
0.000 0.000 0.000 Sr
0.000 0.667 0.333 Ga
0.000 0.333 0.667 Ga
0.500 0.814 0.186 Au
0.000 0.000 0.500 Au
0.000 0.500 0.500 Au
0.500 0.814 0.627 Au
0.500 0.186 0.814 Au
0.500 0.627 0.814 Au
0.500 0.186 0.373 Au
0.000 0.500 0.000 Au
0.500 0.373 0.186 Au


SrGa2Au3 (GGA-PBE, relaxed); space group = No. 194
1.0
-1.856 2.472 -3.378
-0.082 -4.574 -0.199
-12.487 -0.074 6.806
Sr Ga Au
2 4 6
direct
0.000 0.000 0.250 Sr
0.000 0.000 0.750 Sr
0.667 0.333 0.406 Ga
0.333 0.667 0.594 Ga
0.333 0.667 0.906 Ga
0.667 0.333 0.094 Ga
0.000 0.000 0.500 Au
0.000 0.000 0.000 Au
0.667 0.333 0.604 Au
0.333 0.667 0.104 Au
0.667 0.333 0.896 Au
0.333 0.667 0.396 Au


Sr3Ga3Au2 (GGA-PBE, relaxed); space group = No. 63
1.0
4.604 0.000 0.000
-2.302 5.798 0.000
0.000 0.000 16.422
Sr Ga Au
6 6 4
direct
0.862 0.725 0.405 Sr
0.138 0.275 0.905 Sr
0.862 0.725 0.095 Sr
0.138 0.275 0.595 Sr
0.580 0.160 0.250 Sr
0.420 0.840 0.750 Sr
0.580 0.160 0.448 Ga
0.420 0.840 0.948 Ga
0.580 0.160 0.052 Ga
0.420 0.840 0.552 Ga
0.290 0.580 0.250 Ga
0.710 0.420 0.750 Ga
0.845 0.690 0.885 Au
0.155 0.310 0.385 Au
0.845 0.690 0.615 Au
0.155 0.310 0.115 Au


Computed values of VASP energy (unit: eV per atom) for the preceding records, in sequence: -3.297, -3.409, -3.171.
Computed values of ΔE_f (unit: meV per atom) for the preceding records, in sequence: -194, -481, -586.